[1]
A plane-wave DFT calculation with PBE-GGA was carried out for BaAg2Au after structural relaxation. Values from VASP.

```
&SYSTEM
  ibrav = 0, nat = 8, ntyp = 3
/
ATOMIC_SPECIES
Ba 137.33 Ba.upf
Ag 107.87 Ag.upf
Au 196.97 Au.upf
CELL_PARAMETERS angstrom
6.1301 0.0000 0.0000
0.0000 10.5813 0.0000
-2.9706 0.0000 3.3919
ATOMIC_POSITIONS crystal
Ba 0.0000 0.0000 0.0000
Ba 0.5000 0.5000 0.0000
Ag 0.2500 0.2500 0.5000
Ag 0.2500 0.7500 0.5000
Ag 0.7500 0.2500 0.5000
Ag 0.7500 0.7500 0.5000
Au 0.0000 0.5000 0.0000
Au 0.5000 0.0000 0.0000
```

Calculated values
E_form, eV/atom: -0.05
ΔE to the lowest computed polymorph, meV per atom: 296
Total magnetization, μB per atom: 0.000
Density of states at the Fermi level, states/eV/cell: 2.12
Energy, eV per atom: -2.775

[2]
A plane-wave DFT calculation with PBE-GGA was carried out for BaAg2Au after structural relaxation. Values from VASP.

```
&SYSTEM
  ibrav = 0, nat = 4, ntyp = 3
/
ATOMIC_SPECIES
Ba 137.33 Ba.upf
Ag 107.87 Ag.upf
Au 196.97 Au.upf
CELL_PARAMETERS angstrom
3.7879 0.0000 0.0000
0.0000 3.7879 0.0000
0.0000 0.0000 7.1234
ATOMIC_POSITIONS crystal
Ba 0.0000 0.0000 0.0000
Ag 0.0000 0.0000 0.5029
Ag 0.5000 0.5000 0.3297
Au 0.5000 0.5000 0.7181
```

Calculated values
E_form, eV/atom: -0.19
ΔE to the lowest computed polymorph, meV per atom: 155
Total magnetization, μB per atom: 0.000
Density of states at the Fermi level, states/eV/cell: 1.77
Energy, eV per atom: -2.915

[3]
A plane-wave DFT calculation with PBE-GGA was carried out for Ba2AgAu after structural relaxation. Values from VASP.

```
&SYSTEM
  ibrav = 0, nat = 8, ntyp = 3
/
ATOMIC_SPECIES
Ba 137.33 Ba.upf
Ag 107.87 Ag.upf
Au 196.97 Au.upf
CELL_PARAMETERS angstrom
6.6205 0.0000 0.0000
0.0000 5.0336 0.0000
-3.1882 0.0000 8.6013
ATOMIC_POSITIONS crystal
Ba 0.2230 0.2500 0.4337
Ba 0.2295 0.2500 0.9290
Ba 0.7705 0.7500 0.0710
Ba 0.7770 0.7500 0.5663
Ag 0.3535 0.7500 0.2144
Ag 0.6465 0.2500 0.7856
Au 0.3560 0.7500 0.7127
Au 0.6440 0.2500 0.2873
```

Calculated values
E_form, eV/atom: -0.49
Total magnetization, μB per atom: 0.000
Density of states at the Fermi level, states/eV/cell: 7.14
Energy, eV per atom: -2.985

[4]
A plane-wave DFT calculation with PBE-GGA was carried out for BaAg7Au5 after structural relaxation. Values from VASP.

```
&SYSTEM
  ibrav = 0, nat = 13, ntyp = 3
/
ATOMIC_SPECIES
Ba 137.33 Ba.upf
Ag 107.87 Ag.upf
Au 196.97 Au.upf
CELL_PARAMETERS angstrom
-2.7628 4.9111 4.9140
2.7628 -4.9111 4.9140
2.7628 4.9111 -4.9140
ATOMIC_POSITIONS crystal
Ba 0.0000 0.0000 0.0000
Ag 0.2262 0.4974 0.7288
Ag 0.3527 0.9957 0.3570
Ag 0.3558 0.3558 0.0000
Ag 0.6387 0.9957 0.6430
Ag 0.6412 0.6412 0.0000
Ag 0.7660 0.2660 0.5000
Ag 0.7686 0.4974 0.2712
Au 0.2176 0.7176 0.5000
Au 0.4982 0.4974 0.5003
Au 0.4982 0.9979 0.0008
Au 0.9971 0.4974 0.9992
Au 0.9971 0.9979 0.4997
```

Calculated values
E_form, eV/atom: -0.16
Total magnetization, μB per atom: 0.000
Density of states at the Fermi level, states/eV/cell: 3.24
Energy, eV per atom: -3.105

Question: What is the density of states at the Fermi level in the second record?
Answer: 1.77 states/eV/cell

Question: What is the density of states at the Fermi level in the third record?
Answer: 7.14 states/eV/cell

Question: The highest E_form belongs to which entry?
Answer: number 1